TbPu2Re9 after structural relaxation. Source: Alexandria, functional GGA-PBE.

Lattice parameters (Å, degrees): 5.3049 5.3049 26.9936 90.00 90.00 120.00
Space group R-3m (No. 166, hexagonal axes)
Inequivalent atoms, fractional coordinates:
Tb1 0.0000 0.0000 0.0000
Pu1 0.0000 0.0000 0.1455
Re1 0.0000 0.0000 0.3350
Re2 0.0000 0.0000 0.5000
Re3 0.0042 0.5021 0.9170

Formation enthalpy at 0 K in eV/f.u.: 0.8